[1]
Here is an optimized crystal structure of La2ZnTc from Alexandria. Energies are from PBE-GGA.

a b c (Å): 3.626 5.010 10.562
angles (deg): 90.00 90.00 90.00
Space group Imm2 (No. 44)
Symmetry-distinct sites (fractional):
La: 0.000 0.000 0.000 x2
La: 0.000 0.500 0.200 x2
Zn: 0.000 0.500 0.786 x2
Tc: 0.000 0.000 0.463 x2

E_form	0.1	eV/f.u.
total energy	-0.394	Ry per atom

[2]
Here is an optimized crystal structure of Pr4Sm3Th2 from Alexandria. Energies are from PBE-GGA.

a b c (Å): 3.6218 3.6218 27.5446
angles (deg): 90.00 90.00 120.00
Space group P3m1 (No. 156)
Symmetry-distinct sites (fractional):
Pr: 0.0000 0.0000 0.0000 x1
Pr: 0.0000 0.0000 0.2183 x1
Pr: 0.3333 0.6667 0.3315 x1
Pr: 0.3333 0.6667 0.5518 x1
Sm: 0.0000 0.0000 0.4405 x1
Sm: 0.3333 0.6667 0.1076 x1
Sm: 0.3333 0.6667 0.7684 x1
Th: 0.0000 0.0000 0.6606 x1
Th: 0.0000 0.0000 0.8756 x1

E above lowest polymorph	1.55	kcal/mol of atoms
E_form	0.8	eV/f.u.
total energy	-0.386	Ry per atom

[3]
Here is an optimized crystal structure of CsRb3Sb from Alexandria. Energies are from PBE-GGA.

a b c (Å): 7.239 7.239 7.239
angles (deg): 90.00 90.00 90.00
Space group Pm-3m (No. 221)
Symmetry-distinct sites (fractional):
Cs: 0.000 0.000 0.000 x1
Rb: 0.000 0.000 0.500 x3
Sb: 0.500 0.500 0.500 x1

E above lowest polymorph	18.48	kcal/mol of atoms
total energy	-0.074	Ry per atom

[4]
Here is an optimized crystal structure of Ga3TeOs from Alexandria. Energies are from PBE-GGA.

a b c (Å): 4.886 4.886 4.886
angles (deg): 90.00 90.00 90.00
Space group Pm-3m (No. 221)
Symmetry-distinct sites (fractional):
Ga: 0.000 0.000 0.500 x3
Te: 0.500 0.500 0.500 x1
Os: 0.000 0.000 0.000 x1

E above lowest polymorph	0.00	kcal/mol of atoms
total energy	-0.331	Ry per atom

Number 1 is which compound?
La2ZnTc

Which value of total energy does entry 1 give?
-0.394 Ry per atom